# Cr2AgBiO8, optimized geometry, DFT PBE+U
data_Cr2AgBiO8
_chemical_formula_sum 'Cr2 Ag1 Bi1 O8'
_cell_length_a 5.8612
_cell_length_b 5.8612
_cell_length_c 6.7564
_cell_angle_alpha 90.00
_cell_angle_beta 90.00
_cell_angle_gamma 120.00
_symmetry_space_group_name_H-M 'P -3 m 1'
_symmetry_Int_Tables_number 164
_symmetry_space_group_name_Hall '-P 3 2"'
loop_
_atom_site_label
_atom_site_type_symbol
_atom_site_fract_x
_atom_site_fract_y
_atom_site_fract_z
Cr1 Cr 0.3333 0.6667 0.3033
Ag1 Ag 0.0000 0.0000 0.5000
Bi1 Bi 0.0000 0.0000 0.0000
O1 O 0.1744 0.3488 0.2252
O2 O 0.3333 0.6667 0.5408
# Raw total energy: -73.870 eV per formula unit
# Energy above the lowest structure with this stoichiometry: 0.010 eV/atom